Model w:
# GGA-PBE K2SbAs, optimized geometry
data_K2SbAs
_cell_length_a 8.013
_cell_length_b 8.013
_cell_length_c 8.013
_cell_angle_alpha 90.00
_cell_angle_beta 90.00
_cell_angle_gamma 90.00
_space_group_name_H-M_alt 'F m -3 m'
_space_group_IT_number 225
_space_group_name_Hall '-F 4 2 3'
loop_
_atom_site_label
_atom_site_fract_x
_atom_site_fract_y
_atom_site_fract_z
K1 0.250 0.250 0.250
Sb1 0.000 0.000 0.000
As1 0.000 0.000 0.500
# D(E_F), states/eV per atom: 0.73

=====

Model x:
# GGA-PBE K2SbAs, optimized geometry
data_K2SbAs
_cell_length_a 6.533
_cell_length_b 6.546
_cell_length_c 10.711
_cell_angle_alpha 90.00
_cell_angle_beta 90.00
_cell_angle_gamma 90.00
_space_group_name_H-M_alt 'F m m m'
_space_group_IT_number 69
_space_group_name_Hall '-F 2 2'
loop_
_atom_site_label
_atom_site_fract_x
_atom_site_fract_y
_atom_site_fract_z
K1 0.250 0.250 0.250
Sb1 0.000 0.000 0.000
As1 0.000 0.000 0.500
# D(E_F), states/eV per atom: 0.40

=====

Model y:
# GGA-PBE K2SbAs, optimized geometry
data_K2SbAs
_cell_length_a 3.926
_cell_length_b 3.926
_cell_length_c 10.079
_cell_angle_alpha 90.00
_cell_angle_beta 90.00
_cell_angle_gamma 90.00
_space_group_name_H-M_alt 'P 4 m m'
_space_group_IT_number 99
loop_
_space_group_symop_operation_xyz
'x,y,z'
'-y,x,z'
'-x,-y,z'
'y,-x,z'
'-x,y,z'
'y,x,z'
'x,-y,z'
'-y,-x,z'
loop_
_atom_site_label
_atom_site_fract_x
_atom_site_fract_y
_atom_site_fract_z
K1 0.000 0.000 0.000
K2 0.500 0.500 0.422
Sb1 0.000 0.000 0.666
As1 0.500 0.500 0.760
# D(E_F), states/eV per atom: 0.64

=====

Which structure is most stable? model x, by 0.016 eV/atom over the runner-up.